Compound: Y6MgPd2
Source: Alexandria
Functional: PBE-GGA
Structure: optimized geometry

The structure in extended XYZ format:
```
18
Lattice="8.0849 -0.1141 -2.9978 -4.3204 7.0923 -2.3236 -0.1350 0.1141 8.6217" Properties=species:S:1:pos:R:3 pbc="T T T"
Y -0.5085 2.1281 6.0531
Y 2.5464 2.0139 -0.5030
Y 1.0831 5.0783 3.8033
Y 0.5075 1.7102 2.6017
Mg 0.0000 0.0000 0.0000
Pd 1.2993 4.4319 -1.8367
Y 5.4627 1.5961 -2.6102
Y 3.9411 2.6665 2.8598
Y -1.8841 6.9693 2.6634
Pd 5.2468 0.0000 3.7117
Y 4.1380 4.9642 -2.7528
Y -1.8332 5.4962 5.9105
Mg -2.2277 3.6032 3.1491
Pd 2.3302 2.6603 5.1370
Y 3.1220 5.3820 0.6986
Pd 2.7031 0.0000 1.9122
Y 5.5136 0.1230 0.6369
Y -0.3116 4.4258 0.4405
```

---

Compound: YMg4Pd15
Source: Alexandria
Functional: PBE-GGA
Structure: optimized geometry

The structure in extended XYZ format:
```
20
Lattice="4.0165 0.0000 0.0000 0.0000 4.0165 0.0000 0.0000 0.0000 19.9090" Properties=species:S:1:pos:R:3 pbc="T T T"
Y 0.0000 0.0000 0.0000
Pd 2.0083 0.0000 2.1386
Pd 2.0083 2.0083 15.8134
Pd 0.0000 2.0083 9.9545
Pd 2.0083 2.0083 0.0000
Mg 0.0000 0.0000 4.1075
Pd 2.0083 2.0083 4.0957
Pd 0.0000 2.0083 6.0562
Pd 2.0083 0.0000 17.7704
Mg 0.0000 0.0000 15.8016
Pd 0.0000 2.0083 17.7704
Pd 2.0083 0.0000 6.0562
Pd 0.0000 2.0083 2.1386
Pd 2.0083 2.0083 8.0104
Pd 0.0000 2.0083 13.8529
Pd 2.0083 2.0083 11.8986
Mg 0.0000 0.0000 7.9993
Mg 0.0000 0.0000 11.9097
Pd 2.0083 0.0000 9.9545
Pd 2.0083 0.0000 13.8529
```

---

Compound: Y4MgPd
Source: Alexandria
Functional: PBE-GGA
Structure: optimized geometry

The structure in extended XYZ format:
```
12
Lattice="-5.1917 1.3060 2.9717 0.3344 -8.8798 -2.7065 5.2396 2.1808 5.4843" Properties=species:S:1:pos:R:3 pbc="T T T"
Y 3.2610 -3.4398 3.5221
Y -0.3285 -3.9544 3.9066
Y 0.7109 -1.4386 1.8428
Pd 1.6802 -5.7195 5.0063
Y 1.7282 -6.3643 2.1882
Mg 0.8481 -0.8996 5.0310
Y -2.8787 -1.9532 2.2274
Y -1.3459 0.9713 3.5612
Pd -1.2978 0.3265 0.7431
Y 3.9461 0.1521 4.2063
Y -3.5638 -5.5451 1.5432
Mg -0.4657 -4.4934 0.7184
```

---

Compound: Y2MgPd2
Source: Alexandria
Functional: PBE-GGA
Structure: optimized geometry

The structure in extended XYZ format:
```
10
Lattice="-5.2686 0.9521 -6.3607 4.9819 -4.5961 -4.8145 -1.6405 -2.7677 0.9446" Properties=species:S:1:pos:R:3 pbc="T T T"
Pd -3.5567 -2.2066 -6.6911
Y 0.9534 -1.4659 -2.6392
Y -2.6773 -0.0706 -4.8566
Mg 0.0000 0.0000 0.0000
Pd -1.9828 -1.7044 -2.4860
Pd 0.0556 -4.7073 -7.7445
Y -1.2401 -2.1782 -8.5360
Y 2.3906 -3.5735 -6.3186
Mg -0.1433 -1.8220 -5.5876
Pd 1.6295 -4.2051 -3.5395
```

---

Compound: Y2MgPd
Source: Alexandria
Functional: PBE-GGA
Structure: optimized geometry

The structure in extended XYZ format:
```
4
Lattice="-3.5620 1.6493 -0.6812 -1.4392 0.1708 -3.7110 -5.3243 -6.8474 -0.3888" Properties=species:S:1:pos:R:3 pbc="T T T"
Y -4.6097 -5.3910 -0.5989
Pd -3.3467 1.1877 -2.9244
Y -2.3815 -0.8494 -1.2540
Mg -5.1502 -2.4881 -2.3942
```

---

Compound: Y2Mg2Pd3
Source: Alexandria
Functional: PBE-GGA
Structure: optimized geometry

The structure in extended XYZ format:
```
7
Lattice="-3.2067 2.8448 -0.6848 -4.8053 -4.7216 2.8871 3.2558 1.3265 4.0237" Properties=species:S:1:pos:R:3 pbc="T T T"
Y 0.3702 1.1974 3.2406
Pd -2.1048 1.3318 1.6295
Pd -2.6514 -1.8822 4.5965
Pd 0.0000 0.0000 0.0000
Mg -3.1642 0.7207 4.0514
Y -5.1264 -1.7478 2.9853
Mg -1.5920 -1.2711 2.1745
```

---

| no. | formation energy (meV/atom) | uncorrected energy (eV/atom) |
| --- | --- | --- |
| 1 | -439 | -6.080 |
| 2 | -542 | -5.078 |
| 3 | -255 | -5.696 |
| 4 | -484 | -5.466 |
| 5 | -282 | -5.211 |
| 6 | -711 | -5.239 |